(1)
A plane-wave DFT calculation with PBE was carried out for GdHoScOs after structural relaxation.

Values from the calculation:
* SG: F-43m, No. 216

Unit cell a=5.0274 b=5.0274 c=5.0274 alpha=60.00 beta=60.00 gamma=60.00
With the nearest neighbours (Å) after each atom.
Fractional positions:
Sc 0.0000 0.0000 0.0000  4 Gd 3.08, 4 Ho 3.08
Ho 0.7500 0.7500 0.7500  4 Sc 3.08, 4 Os 3.08
Os 0.5000 0.5000 0.5000  4 Gd 3.08, 4 Ho 3.08
Gd 0.2500 0.2500 0.2500  4 Os 3.08, 4 Sc 3.08

=====

(2)
A plane-wave DFT calculation with PBE was carried out for GdHoTlOs after structural relaxation.

Values from the calculation:
* SG: F-43m, No. 216

Unit cell a=5.0779 b=5.0779 c=5.0779 alpha=60.00 beta=60.00 gamma=60.00
With the nearest neighbours (Å) after each atom.
Fractional positions:
Tl 0.0000 0.0000 0.0000  4 Ho 3.11, 4 Gd 3.11
Gd 0.2500 0.2500 0.2500  4 Os 3.11, 4 Tl 3.11
Ho 0.7500 0.7500 0.7500  4 Tl 3.11, 4 Os 3.11
Os 0.5000 0.5000 0.5000  4 Gd 3.11, 4 Ho 3.11

=====

(3)
A plane-wave DFT calculation with PBE was carried out for GdHoTmOs after structural relaxation.

Values from the calculation:
* SG: F-43m, No. 216

Unit cell a=5.1050 b=5.1050 c=5.1050 alpha=60.00 beta=60.00 gamma=60.00
With the nearest neighbours (Å) after each atom.
Fractional positions:
Ho 0.5000 0.5000 0.5000  4 Tm 3.13, 4 Os 3.13
Tm 0.7500 0.7500 0.7500  4 Gd 3.13, 4 Ho 3.13
Os 0.2500 0.2500 0.2500  4 Ho 3.13, 4 Gd 3.13
Gd 0.0000 0.0000 0.0000  4 Os 3.13, 4 Tm 3.13

=====

(4)
A plane-wave DFT calculation with PBE was carried out for GdHoZnOs after structural relaxation.

Values from the calculation:
* SG: F-43m, No. 216

Unit cell a=4.9186 b=4.9186 c=4.9186 alpha=60.00 beta=60.00 gamma=60.00
With the nearest neighbours (Å) after each atom.
Fractional positions:
Os 0.0000 0.0000 0.0000  4 Gd 3.01, 4 Ho 3.01
Gd 0.2500 0.2500 0.2500  4 Os 3.01, 4 Zn 3.01
Ho 0.7500 0.7500 0.7500  4 Os 3.01, 4 Zn 3.01
Zn 0.5000 0.5000 0.5000  4 Ho 3.01, 4 Gd 3.01

=====

(5)
A plane-wave DFT calculation with PBE was carried out for GdHoP2 after structural relaxation.

Values from the calculation:
* SG: R-3m, No. 166

Unit cell a=4.0214 b=4.0214 c=6.9606 alpha=73.21 beta=73.21 gamma=60.00
With the nearest neighbours (Å) after each atom.
Fractional positions:
P 0.2511 0.2511 0.2466  3 Ho 2.83, 3 Gd 2.86
Gd 0.5000 0.5000 0.5000  6 P 2.86
Ho 0.0000 0.0000 0.0000  6 P 2.83
P 0.7489 0.7489 0.7534  3 Ho 2.83, 3 Gd 2.86

=====

(6)
A plane-wave DFT calculation with PBE was carried out for GdHo3P after structural relaxation.

Values from the calculation:
* SG: Pm-3m, No. 221

Unit cell a=5.3644 b=5.3644 c=5.3644 alpha=90.00 beta=90.00 gamma=90.00
With the nearest neighbours (Å) after each atom.
Fractional positions:
P 0.0000 0.0000 0.0000  6 Ho 2.68
Gd 0.5000 0.5000 0.5000  12 Ho 3.79
Ho 0.5000 0.0000 0.0000  2 P 2.68
Ho 0.0000 0.5000 0.0000  2 P 2.68
Ho 0.0000 0.0000 0.5000  2 P 2.68

=====

(7)
A plane-wave DFT calculation with PBE was carried out for GdHoP after structural relaxation.

Values from the calculation:
* SG: P3m1, No. 156

Unit cell a=3.8795 b=3.8795 c=6.4194 alpha=90.00 beta=90.00 gamma=120.00
With the nearest neighbours (Å) after each atom.
Fractional positions:
Ho 0.3333 0.6667 0.5843  3 P 2.75
Gd 0.0000 0.0000 0.0794  3 P 2.78
P 0.6667 0.3333 0.3363  3 Ho 2.75, 3 Gd 2.78

=====

(8)
A plane-wave DFT calculation with PBE was carried out for Gd2HoPa after structural relaxation.

Values from the calculation:
* SG: P4/mmm, No. 123
* E above lowest polymorph: 0.097 eV/atom

Unit cell a=4.9189 b=4.9051 c=4.9051 alpha=90.00 beta=90.00 gamma=90.00
With the nearest neighbours (Å) after each atom.
Fractional positions:
Gd 0.0000 0.0000 0.5000  4 Gd 3.47, 4 Ho 3.47, 4 Pa 3.47
Pa 0.5000 0.0000 0.0000  4 Ho 3.47, 8 Gd 3.47
Ho 0.5000 0.5000 0.5000  4 Pa 3.47, 8 Gd 3.47
Gd 0.0000 0.5000 0.0000  4 Gd 3.47, 4 Pa 3.47, 4 Ho 3.47

=====

| no. | calculated formation energy (eV per atom) | magnetization (μB per formula unit) | N(E_F) (states/eV per atom) |
| --- | --- | --- | --- |
| 1 | 0.021 | 7.08 | 1.080 |
| 2 | -0.137 | 7.05 | 0.713 |
| 3 | 0.112 | 7.18 | 0.918 |
| 4 | -0.262 | 7.05 | 0.769 |
| 5 | -1.605 | 6.97 | 0.086 |
| 6 | -0.409 | 9.32 | 2.108 |
| 7 | -0.974 | 8.03 | 0.826 |
| 8 | 0.227 | 13.65 | 1.548 |